A relaxed BaLaSi2 crystal, computed with PBE-GGA.

```
4
Lattice="-2.6181 1.5835 4.4847 -5.1386 1.7223 -0.3218 -4.0154 -3.0464 2.0176" Properties=species:S:1:pos:R:3 pbc="T T T"
Ba 0.0000 0.0000 0.0000
Si -8.8291 0.1946 4.6354
Si -2.9430 0.0649 1.5451
La -5.8861 0.1297 3.0903
```

Calculated values
total DFT energy (no corrections) = -4.59 eV/atom
energy above the most stable polymorph in this dataset = 168 kJ/mol of formula units
uncorrected formation energy = -0.162 eV/atom
mass density = 4.88 g/cm³

---

A relaxed BaLaSi4 crystal, computed with PBE-GGA.

```
6
Lattice="5.5888 -0.4657 1.3342 1.7199 -3.8897 3.8915 2.9886 -4.6335 -1.6825" Properties=species:S:1:pos:R:3 pbc="T T T"
La 0.0000 0.0000 0.0000
Si 3.6983 -3.2284 1.2726
Si 5.3821 -5.8388 0.3247
Si 6.8470 -3.4907 2.0242
Si 4.6673 -5.4198 3.4650
Ba 7.7230 -6.7416 2.6574
```

Calculated values
total DFT energy (no corrections) = -4.98 eV/atom
energy above the most stable polymorph in this dataset = 92 kJ/mol of formula units
uncorrected formation energy = -0.227 eV/atom
mass density = 4.76 g/cm³

---

A relaxed BaLaSi crystal, computed with PBE-GGA.

```
3
Lattice="5.3602 0.0000 0.0000 2.6801 4.6421 0.0000 2.6801 1.5474 4.3766" Properties=species:S:1:pos:R:3 pbc="T T T"
Ba 0.0000 0.0000 0.0000
Si 8.0404 4.6421 3.2825
La 5.3602 3.0947 2.1883
```

Calculated values
total DFT energy (no corrections) = -4.33 eV/atom
uncorrected formation energy = -0.238 eV/atom
mass density = 4.64 g/cm³

---

A relaxed BaSrLaSi2 crystal, computed with PBE-GGA.

```
5
Lattice="-3.6260 4.4233 1.0416 -4.4324 -3.3826 -1.0659 -0.2099 -1.4942 5.6144" Properties=species:S:1:pos:R:3 pbc="T T T"
Si -0.1049 -0.7471 2.8072
Ba 0.0000 0.0000 0.0000
Sr -4.1342 -0.2267 2.7951
Si -1.8130 2.2116 0.5208
La -2.2162 -1.6913 -0.5329
```

Calculated values
total DFT energy (no corrections) = -2.94 eV/atom
uncorrected formation energy = 0.939 eV/atom
mass density = 3.64 g/cm³

---

A relaxed BaLa2TlSi crystal, computed with PBE-GGA.

```
5
Lattice="5.9923 0.0000 0.0000 0.0000 6.3213 0.0000 0.0000 0.0000 5.9923" Properties=species:S:1:pos:R:3 pbc="T T T"
Tl 0.0000 0.0000 0.0000
La 0.0000 0.0000 2.9961
La 2.9961 0.0000 0.0000
Ba 0.0000 3.1607 0.0000
Si 2.9961 3.1607 2.9961
```

Calculated values
total DFT energy (no corrections) = -3.43 eV/atom
uncorrected formation energy = 0.482 eV/atom
mass density = 4.74 g/cm³

---

A relaxed BaLaSiW2 crystal, computed with PBE-GGA.

```
5
Lattice="5.0907 0.0000 0.0000 0.0000 5.6264 0.0000 0.0000 0.0000 5.0907" Properties=species:S:1:pos:R:3 pbc="T T T"
Si 0.0000 2.8132 0.0000
Ba 2.5453 2.8132 2.5453
W 0.0000 0.0000 2.5453
La 0.0000 0.0000 0.0000
W 2.5453 0.0000 0.0000
```

Calculated values
total DFT energy (no corrections) = -5.65 eV/atom
uncorrected formation energy = 1.984 eV/atom
mass density = 7.65 g/cm³